{
  "formula": "Lu2CoPd",
  "functional": "PBE",
  "state": "optimized geometry",
  "cell": [[-2.302, -1.536, -1.847], [-0.605, -2.105, 2.504], [-4.726, 4.204, 2.393]],
  "species": ["Lu", "Lu", "Co", "Pd"],
  "fractional_positions": [[0.000, 0.000, 0.763], [0.000, 0.000, 0.237], [0.500, 0.500, 0.000], [0.500, 0.500, 0.500]],
  "density_g_cm3": 11.43,
  "energy_ev_per_atom": -5.96,
  "dos_at_fermi_per_ev_fu": 1.86,
  "e_form_ev_per_atom": -0.6240
}